A plane-wave DFT calculation with PBE was carried out for a relaxed Li2AlAu crystal.

Calculated values
DOS(E_F) = 0.2833 states/eV/atom
formation energy from the elements = -0.418 eV/atom
symmetry = Immm
final energy = -0.1150 Ha/atom

Cell and atoms, written as POSCAR:
```
Li2AlAu
1.0
-1.806 1.985 4.343
1.806 -1.985 4.343
1.806 1.985 -4.343
Li Al Au
2 1 1
Direct
0.247 0.247 0.000 Li
0.753 0.753 0.000 Li
0.500 0.000 0.500 Al
0.000 0.500 0.500 Au
```

***

A plane-wave DFT calculation with PBE was carried out for a relaxed Cs3US3 crystal.

Calculated values
DOS(E_F) = 0.5280 states/eV/atom
symmetry = C2/m
final energy = -0.1804 Ha/atom
energy relative to the elements, uncorrected = -112.2 kJ per mole of atoms

Cell and atoms, written as POSCAR:
```
Cs3US3
1.0
4.711 -7.126 0.000
4.711 7.126 0.000
-2.802 0.000 8.549
Cs U S
6 2 6
Direct
0.179 0.821 0.000 Cs
0.288 0.712 0.500 Cs
0.384 0.384 0.127 Cs
0.616 0.616 0.873 Cs
0.712 0.288 0.500 Cs
0.821 0.179 0.000 Cs
0.129 0.129 0.619 U
0.871 0.871 0.381 U
0.136 0.136 0.317 S
0.145 0.425 0.772 S
0.425 0.145 0.772 S
0.575 0.855 0.228 S
0.855 0.575 0.228 S
0.864 0.864 0.683 S
```

***

A plane-wave DFT calculation with PBE was carried out for a relaxed MnCo2RhSe6 crystal.

Calculated values
DOS(E_F) = 0.6403 states/eV/atom
symmetry = C2/c
final energy = -0.2000 Ha/atom
energy relative to the elements, uncorrected = -27.0 kJ per mole of atoms

Cell and atoms, written as POSCAR:
```
MnCo2RhSe6
1.0
5.349 -5.882 0.000
5.349 5.882 0.000
-2.102 0.000 5.826
Mn Co Rh Se
2 4 2 12
Direct
0.079 0.921 0.750 Mn
0.921 0.079 0.250 Mn
0.290 0.470 0.778 Co
0.470 0.290 0.278 Co
0.530 0.710 0.722 Co
0.710 0.530 0.222 Co
0.232 0.768 0.250 Rh
0.768 0.232 0.750 Rh
0.065 0.216 0.663 Se
0.076 0.639 0.840 Se
0.216 0.065 0.163 Se
0.307 0.506 0.423 Se
0.361 0.924 0.660 Se
0.494 0.693 0.077 Se
0.506 0.307 0.923 Se
0.639 0.076 0.340 Se
0.693 0.494 0.577 Se
0.784 0.935 0.837 Se
0.924 0.361 0.160 Se
0.935 0.784 0.337 Se
```

***

A plane-wave DFT calculation with PBE was carried out for a relaxed LiAc2Si3Ir4 crystal.

Calculated values
DOS(E_F) = 0.4096 states/eV/atom
symmetry = P-4m2
final energy = -0.2587 Ha/atom
energy relative to the elements, uncorrected = -82.5 kJ per mole of atoms

Cell and atoms, written as POSCAR:
```
LiAc2Si3Ir4
1.0
4.203 0.000 0.000
0.000 4.203 0.000
0.000 0.000 10.473
Li Ac Si Ir
1 2 3 4
Direct
0.000 0.000 0.000 Li
0.000 0.500 0.758 Ac
0.500 0.000 0.242 Ac
0.000 0.500 0.379 Si
0.500 0.000 0.621 Si
0.500 0.500 0.000 Si
0.000 0.000 0.500 Ir
0.000 0.500 0.136 Ir
0.500 0.000 0.864 Ir
0.500 0.500 0.500 Ir
```